This record from Alexandria describes crystalline NbCrBiO2 at its relaxed geometry. The functional is PBE+U.

VASP energy: -31.89 eV for the cell shown
Calculated volume: 87.4 Å³/f.u.
Space group: P4/mmm, No. 123
DOS(E_F): 7.6 states/eV/f.u.

Lattice parameters (Å, degrees): 3.8518 5.8875 3.8518 90.00 90.00 90.00
Closest atoms and distances in Å follow each position.
Sites, in units of the cell vectors:
Cr 0.0000 0.0000 0.0000  4 O 1.93
O 0.5000 0.0000 0.0000  2 Cr 1.93
Bi 0.5000 0.5000 0.5000  4 Nb 2.72
Nb 0.0000 0.5000 0.0000  4 Bi 2.72, 2 Cr 2.94
O 0.0000 0.0000 0.5000  2 Cr 1.93